# 1
The following is a DFT calculation (GGA-PBE) of a relaxed structure of Ru2Pb.

The structure in extended XYZ format:
```
9
Lattice="-5.8330 -0.2878 -3.3282 4.0642 -5.3525 0.1280 -1.9100 -1.3674 3.4657" Properties=species:S:1:pos:R:3 pbc="T T T"
Pb -0.9550 -0.6837 1.7328
Pb 0.7652 -3.6643 -1.0241
Pb -2.5339 -1.9761 -2.1762
Ru 1.4059 -3.7930 1.8072
Ru -4.3434 -0.8509 -0.2005
Ru -1.3427 -4.2817 -2.4294
Ru 0.9790 -1.2893 0.0308
Ru -1.6963 -3.0476 0.3916
Ru -1.4051 -0.0693 -0.8017
```

Summary:
Offset from the most stable computed form, eV per formula unit: 1.51
Space group: No. 189
Formation enthalpy at 0 K, eV/atom: 0.914

***

# 2
The following is a DFT calculation (GGA-PBE) of a relaxed structure of Mn2NbIn2.

The structure in extended XYZ format:
```
10
Lattice="6.4376 0.0000 0.0000 0.0000 6.4376 0.0000 0.0000 0.0000 4.2150" Properties=species:S:1:pos:R:3 pbc="T T T"
Mn 4.0325 0.8137 0.0000
Mn 5.6239 4.0325 0.0000
Mn 0.8137 2.4051 0.0000
Mn 2.4051 5.6239 0.0000
Nb 3.2188 3.2188 0.0000
Nb 0.0000 0.0000 0.0000
In 5.3120 2.0932 2.1075
In 2.0932 1.1256 2.1075
In 4.3444 5.3120 2.1075
In 1.1256 4.3444 2.1075
```

Summary:
Space group: No. 127
Formation enthalpy at 0 K, eV/atom: 0.304

***

# 3
The following is a DFT calculation (GGA-PBE) of a relaxed structure of AcGa6Pt4.

The structure in extended XYZ format:
```
11
Lattice="4.1577 0.0000 0.0000 0.0000 7.4342 0.0000 0.0000 -3.7171 6.4382" Properties=species:S:1:pos:R:3 pbc="T T T"
Ga 2.0789 1.4790 5.1460
Ga 0.0000 5.1913 2.9972
Ga 2.0789 0.0000 2.5844
Ga 2.0789 -1.4790 5.1460
Ga 0.0000 2.2429 2.9972
Ga 0.0000 3.7171 0.4439
Pt 2.0789 5.1688 1.3079
Pt 2.0789 3.7171 3.8224
Pt 0.0000 0.0000 4.2921
Pt 2.0789 2.2654 1.3079
Ac 0.0000 0.0000 0.0000
```

Summary:
Space group: No. 187
Formation enthalpy at 0 K, eV/atom: -0.778

***

# 4
The following is a DFT calculation (GGA-PBE) of a relaxed structure of CeNdHo2Er5.

The structure in extended XYZ format:
```
18
Lattice="-1.1104 3.3858 -4.3941 -8.9120 -6.4601 0.9161 -3.9956 6.3491 5.9019" Properties=species:S:1:pos:R:3 pbc="T T T"
Er -8.6915 1.6259 3.4491
Er -11.9007 0.2342 3.1877
Er -6.3706 -0.4020 1.3001
Er -8.3314 4.7636 2.1341
Er -7.6227 -3.5095 -0.7780
Er -5.0701 1.2413 -1.4041
Er -11.8456 0.3225 -0.3999
Er -0.3030 -0.0182 0.0625
Er -4.7118 4.1092 0.7152
Er -2.0752 2.9737 -0.8260
Ho -8.2081 -0.4662 -1.9268
Ho -3.4218 0.9665 1.6094
Ho -11.1690 3.2184 1.6605
Ho -5.4317 3.1400 3.7920
Ce -8.3910 2.1210 0.1129
Ce -3.8140 -1.7272 -0.3671
Nd -9.3258 -1.1601 1.4627
Nd -6.0739 6.6304 3.0021
```

Summary:
Space group: No. 36
Formation enthalpy at 0 K, eV/atom: 0.177

***

# 5
The following is a DFT calculation (GGA-PBE) of a relaxed structure of Pr2YEr.

The structure in extended XYZ format:
```
4
Lattice="-1.3028 -4.5697 -1.7009 2.1421 -2.1641 4.1732 -4.5079 0.3553 2.4981" Properties=species:S:1:pos:R:3 pbc="T T T"
Y -1.8342 -3.1892 2.4852
Er -0.6514 -2.2848 -0.8505
Pr 1.0711 -1.0820 2.0866
Pr -2.2539 0.1776 1.2491
```

Summary:
Offset from the most stable computed form, eV per formula unit: 0.03
Space group: No. 123
Formation enthalpy at 0 K, eV/atom: 0.020

***

# 6
The following is a DFT calculation (GGA-PBE) of a relaxed structure of Er5ZnTe4.

The structure in extended XYZ format:
```
10
Lattice="5.4597 0.0000 2.6334 2.7299 6.8008 1.3167 -0.2247 0.0000 7.4422" Properties=species:S:1:pos:R:3 pbc="T T T"
Er 5.7679 2.5253 8.9834
Er 3.6072 5.5856 6.4868
Er 2.7385 0.0000 1.3208
Er 2.2069 4.2755 2.4136
Er 4.3676 1.2152 4.9103
Te 3.1516 2.6996 7.4311
Te 4.8229 4.1013 3.9659
Te 1.5619 1.4768 3.7505
Te 6.4126 5.3240 7.6464
Zn 0.0086 0.0000 0.0042
```

Summary:
E_form (uncorrected), eV per atom: -1.071
Space group: No. 87

***

# 7
The following is a DFT calculation (GGA-PBE) of a relaxed structure of AcPuAsF.

The structure in extended XYZ format:
```
4
Lattice="5.1209 0.0000 0.0000 2.5604 4.4348 0.0000 2.5604 1.4783 4.1812" Properties=species:S:1:pos:R:3 pbc="T T T"
As 2.5604 1.4783 1.0453
Ac 0.0000 0.0000 0.0000
F 7.6813 4.4348 3.1359
Pu 5.1209 2.9565 2.0906
```

Summary:
E_form (uncorrected), eV per atom: -1.467
Space group: No. 216